Run i
Material: Li5La
Method: DFT, SCAN
State: PBEsol geometry

Structure (CIF):
```
data_Li5La
_space_group_name_H-M_alt 'P -6 2 m'
_space_group_IT_number 189
_space_group_name_Hall 'P -6 -2'
_cell_length_a 5.9388
_cell_length_b 5.9388
_cell_length_c 4.5329
_cell_angle_alpha 90.00
_cell_angle_beta 90.00
_cell_angle_gamma 120.00
loop_
_atom_site_label
_atom_site_fract_x
_atom_site_fract_y
_atom_site_fract_z
Li1 0.0000 0.5010 0.0000
Li2 0.3333 0.6667 0.5000
La1 0.0000 0.0000 0.5000
```

Computed properties:
As for the crystal system: hexagonal. Its density of states at the Fermi level is 2.8 states/eV/f.u. The total magnetic moment is 1.8 μB per cell.



Run ii
Material: Li5La
Method: DFT, SCAN
State: PBEsol geometry

Structure (CIF):
```
data_Li5La
_space_group_name_H-M_alt 'A m m 2'
_space_group_IT_number 38
_space_group_name_Hall 'A 2 -2'
_cell_length_a 5.246
_cell_length_b 3.141
_cell_length_c 16.799
_cell_angle_alpha 90.00
_cell_angle_beta 90.00
_cell_angle_gamma 90.00
loop_
_atom_site_label
_atom_site_fract_x
_atom_site_fract_y
_atom_site_fract_z
Li1 0.000 0.000 0.000
Li2 0.000 0.000 0.307
Li3 0.000 0.000 0.658
Li4 0.500 0.000 0.209
Li5 0.500 0.000 0.564
La1 0.500 0.000 0.886
```

Computed properties:
As for the crystal system: orthorhombic. Its density of states at the Fermi level is 3.6 states/eV/f.u. The total magnetic moment is 0.1 μB per cell.



run i ends up most stable, edging out the next structure by 12 meV per atom.



Run i
Material: LiLaMg2
Method: DFT, SCAN
State: PBEsol geometry

Structure (CIF):
```
data_LiLaMg2
_space_group_name_H-M_alt 'P 4/m m m'
_space_group_IT_number 123
_space_group_name_Hall '-P 4 2'
_cell_length_a 3.449
_cell_length_b 3.449
_cell_length_c 8.252
_cell_angle_alpha 90.00
_cell_angle_beta 90.00
_cell_angle_gamma 90.00
loop_
_atom_site_label
_atom_site_fract_x
_atom_site_fract_y
_atom_site_fract_z
Li1 0.000 0.000 0.000
La1 0.000 0.000 0.500
Mg1 0.500 0.500 0.203
```

Computed properties:
As for the crystal system: tetragonal. Its density of states at the Fermi level is 3.5 states/eV/f.u. The total magnetic moment is 0.0 μB per cell.



Run ii
Material: LiLaMg2
Method: DFT, SCAN
State: PBEsol geometry

Structure (CIF):
```
data_LiLaMg2
_space_group_name_H-M_alt 'F -4 3 m'
_space_group_IT_number 216
_space_group_name_Hall 'F -4 2 3'
_cell_length_a 7.343
_cell_length_b 7.343
_cell_length_c 7.343
_cell_angle_alpha 90.00
_cell_angle_beta 90.00
_cell_angle_gamma 90.00
loop_
_atom_site_label
_atom_site_fract_x
_atom_site_fract_y
_atom_site_fract_z
Li1 0.000 0.000 0.000
La1 0.250 0.250 0.750
Mg1 0.000 0.000 0.500
Mg2 0.250 0.250 0.250
```

Computed properties:
As for the crystal system: cubic. Its density of states at the Fermi level is 1.7 states/eV/f.u. The total magnetic moment is 0.0 μB per cell.



Run iii
Material: LiLaMg2
Method: DFT, SCAN
State: PBEsol geometry

Structure (CIF):
```
data_LiLaMg2
_space_group_name_H-M_alt 'P 4 m m'
_space_group_IT_number 99
_space_group_name_Hall 'P 4 -2'
_cell_length_a 3.438
_cell_length_b 3.438
_cell_length_c 8.277
_cell_angle_alpha 90.00
_cell_angle_beta 90.00
_cell_angle_gamma 90.00
loop_
_atom_site_label
_atom_site_fract_x
_atom_site_fract_y
_atom_site_fract_z
Li1 0.000 0.000 0.000
La1 0.500 0.500 0.716
Mg1 0.000 0.000 0.423
Mg2 0.500 0.500 0.189
```

Computed properties:
As for the crystal system: tetragonal. Its density of states at the Fermi level is 3.1 states/eV/f.u. The total magnetic moment is 0.6 μB per cell.



run ii ends up most stable, edging out the next structure by 26 meV per atom.



Run i
Material: LiLaMg2
Method: DFT, SCAN
State: PBEsol geometry

Structure (CIF):
```
data_LiLaMg2
_space_group_name_H-M_alt 'P 1 2/m 1'
_space_group_IT_number 10
_space_group_name_Hall '-P 2y'
_cell_length_a 3.189
_cell_length_b 4.919
_cell_length_c 6.604
_cell_angle_alpha 90.00
_cell_angle_beta 103.09
_cell_angle_gamma 90.00
loop_
_atom_site_label
_atom_site_fract_x
_atom_site_fract_y
_atom_site_fract_z
Li1 0.000 0.000 0.000
La1 0.000 0.000 0.500
Mg1 0.389 0.500 0.218
```

Computed properties:
As for the crystal system: monoclinic. Its density of states at the Fermi level is 2.9 states/eV/f.u. The total magnetic moment is 0.4 μB per cell.



Run ii
Material: LiLaMg2
Method: DFT, SCAN
State: PBEsol geometry

Structure (CIF):
```
data_LiLaMg2
_space_group_name_H-M_alt 'I 4/m m m'
_space_group_IT_number 139
_space_group_name_Hall '-I 4 2'
_cell_length_a 5.243
_cell_length_b 5.243
_cell_length_c 7.401
_cell_angle_alpha 90.00
_cell_angle_beta 90.00
_cell_angle_gamma 90.00
loop_
_atom_site_label
_atom_site_fract_x
_atom_site_fract_y
_atom_site_fract_z
Li1 0.000 0.000 0.000
La1 0.000 0.000 0.500
Mg1 0.000 0.500 0.250
```

Computed properties:
As for the crystal system: tetragonal. Its density of states at the Fermi level is 2.2 states/eV/f.u. The total magnetic moment is 0.0 μB per cell.



run ii ends up most stable, edging out the next structure by 15 meV per atom.



Run i
Material: LiLaMo
Method: DFT, SCAN
State: PBEsol geometry

Structure (CIF):
```
data_LiLaMo
_space_group_name_H-M_alt 'F m m 2'
_space_group_IT_number 42
_space_group_name_Hall 'F 2 -2'
_cell_length_a 3.383
_cell_length_b 5.081
_cell_length_c 14.637
_cell_angle_alpha 90.00
_cell_angle_beta 90.00
_cell_angle_gamma 90.00
loop_
_atom_site_label
_atom_site_fract_x
_atom_site_fract_y
_atom_site_fract_z
Li1 0.000 0.000 0.000
La1 0.000 0.000 0.708
Mo1 0.000 0.000 0.353
```

Computed properties:
As for the crystal system: orthorhombic. Its density of states at the Fermi level is 2.0 states/eV/f.u. The total magnetic moment is 0.0 μB per cell.



Run ii
Material: LiLaMo
Method: DFT, SCAN
State: PBEsol geometry

Structure (CIF):
```
data_LiLaMo
_space_group_name_H-M_alt 'P 3 m 1'
_space_group_IT_number 156
_space_group_name_Hall 'P 3 -2"'
_cell_length_a 2.9401
_cell_length_b 2.9401
_cell_length_c 8.1352
_cell_angle_alpha 90.00
_cell_angle_beta 90.00
_cell_angle_gamma 120.00
loop_
_atom_site_label
_atom_site_fract_x
_atom_site_fract_y
_atom_site_fract_z
Li1 0.0000 0.0000 0.0000
La1 0.3333 0.6667 0.3841
Mo1 0.6667 0.3333 0.7167
```

Computed properties:
As for the crystal system: trigonal. Its density of states at the Fermi level is 3.2 states/eV/f.u. The total magnetic moment is 0.0 μB per cell.



Run iii
Material: LiLaMo
Method: DFT, SCAN
State: PBEsol geometry

Structure (CIF):
```
data_LiLaMo
_space_group_name_H-M_alt 'I m m 2'
_space_group_IT_number 44
_space_group_name_Hall 'I 2 -2'
_cell_length_a 2.810
_cell_length_b 4.539
_cell_length_c 9.112
_cell_angle_alpha 90.00
_cell_angle_beta 90.00
_cell_angle_gamma 90.00
loop_
_atom_site_label
_atom_site_fract_x
_atom_site_fract_y
_atom_site_fract_z
Li1 0.000 0.000 0.000
La1 0.000 0.000 0.319
Mo1 0.000 0.000 0.644
```

Computed properties:
As for the crystal system: orthorhombic. Its density of states at the Fermi level is 1.8 states/eV/f.u. The total magnetic moment is 0.0 μB per cell.



run i ends up most stable, edging out the next structure by 31 meV per atom.



Run i
Material: LiLaMo2
Method: DFT, SCAN
State: PBEsol geometry

Structure (CIF):
```
data_LiLaMo2
_space_group_name_H-M_alt 'C 1 2/m 1'
_space_group_IT_number 12
_space_group_name_Hall '-C 2y'
_cell_length_a 5.483
_cell_length_b 10.040
_cell_length_c 2.756
_cell_angle_alpha 90.00
_cell_angle_beta 109.13
_cell_angle_gamma 90.00
loop_
_atom_site_label
_atom_site_fract_x
_atom_site_fract_y
_atom_site_fract_z
Li1 0.000 0.000 0.000
La1 0.000 0.500 0.000
Mo1 0.250 0.250 0.500
```

Computed properties:
As for the crystal system: monoclinic. Its density of states at the Fermi level is 4.0 states/eV/f.u. The total magnetic moment is 0.0 μB per cell.



Run ii
Material: LiLaMo2
Method: DFT, SCAN
State: PBEsol geometry

Structure (CIF):
```
data_LiLaMo2
_space_group_name_H-M_alt 'F -4 3 m'
_space_group_IT_number 216
_space_group_name_Hall 'F -4 2 3'
_cell_length_a 6.594
_cell_length_b 6.594
_cell_length_c 6.594
_cell_angle_alpha 90.00
_cell_angle_beta 90.00
_cell_angle_gamma 90.00
loop_
_atom_site_label
_atom_site_fract_x
_atom_site_fract_y
_atom_site_fract_z
Li1 0.000 0.000 0.000
La1 0.250 0.250 0.750
Mo1 0.000 0.000 0.500
Mo2 0.250 0.250 0.250
```

Computed properties:
As for the crystal system: cubic. Its density of states at the Fermi level is 3.4 states/eV/f.u. The total magnetic moment is 0.0 μB per cell.



run ii ends up most stable, edging out the next structure by 135 meV per atom.



Run i
Material: LiLa3Ti4O12
Method: DFT, SCAN
State: PBEsol geometry

Structure (CIF):
```
data_LiLa3Ti4O12
_space_group_name_H-M_alt 'I 4/m m m'
_space_group_IT_number 139
_space_group_name_Hall '-I 4 2'
_cell_length_a 5.493
_cell_length_b 5.493
_cell_length_c 15.543
_cell_angle_alpha 90.00
_cell_angle_beta 90.00
_cell_angle_gamma 90.00
loop_
_atom_site_label
_atom_site_fract_x
_atom_site_fract_y
_atom_site_fract_z
Li1 0.000 0.000 0.000
La1 0.000 0.000 0.248
La2 0.000 0.000 0.500
Ti1 0.000 0.500 0.123
O1 0.000 0.500 0.000
O2 0.000 0.500 0.250
O3 0.245 0.245 0.371
```

Computed properties:
As for the crystal system: tetragonal. Its density of states at the Fermi level is 5.0 states/eV/f.u. The total magnetic moment is 0.0 μB per cell.



Run ii
Material: LiLa3Ti4O12
Method: DFT, SCAN
State: PBEsol geometry

Structure (CIF):
```
data_LiLa3Ti4O12
_space_group_name_H-M_alt 'C 1 m 1'
_space_group_IT_number 8
_space_group_name_Hall 'C -2y'
_cell_length_a 7.765
_cell_length_b 7.687
_cell_length_c 7.803
_cell_angle_alpha 90.00
_cell_angle_beta 90.69
_cell_angle_gamma 90.00
loop_
_atom_site_label
_atom_site_fract_x
_atom_site_fract_y
_atom_site_fract_z
Li1 0.000 0.000 0.000
La1 0.428 0.500 0.554
La2 0.430 0.000 0.564
La3 0.450 0.000 0.069
Ti1 0.186 0.249 0.309
Ti2 0.195 0.253 0.823
O1 0.151 0.000 0.773
O2 0.172 0.000 0.369
O3 0.178 0.200 0.066
O4 0.192 0.292 0.569
O5 0.199 0.500 0.281
O6 0.242 0.500 0.860
O7 0.435 0.225 0.325
O8 0.443 0.199 0.816
```

Computed properties:
As for the crystal system: monoclinic. Its density of states at the Fermi level is 6.2 states/eV/f.u. The total magnetic moment is 0.0 μB per cell.



run ii ends up most stable, edging out the next structure by 40 meV per atom.